# CsGaTe GGA-PBE optimized geometry
# * uncorrected formation energy: -573 meV per atom
# * crystal system: monoclinic
# * total magnetic moment: 0.0000 μB/atom
data_CsGaTe
_chemical_formula_sum 'Cs2 Ga2 Te2'
_cell_length_a 6.357
_cell_length_b 4.392
_cell_length_c 10.546
_cell_angle_alpha 90.00
_cell_angle_beta 104.53
_cell_angle_gamma 90.00
_symmetry_space_group_name_H-M 'P 1 m 1'
_symmetry_Int_Tables_number 6
loop_
_symmetry_equiv_pos_as_xyz
'x,y,z'
'x,-y,z'
loop_
_atom_site_label
_atom_site_fract_x
_atom_site_fract_y
_atom_site_fract_z
Cs1 0.000 0.000 0.000
Cs2 0.242 0.500 0.451
Ga1 0.486 0.500 0.150
Ga2 0.531 0.500 0.913
Te1 0.369 0.000 0.761
Te2 0.700 0.000 0.290